Density functional theory data (PBE) for a relaxed Be3OsW crystal.

Formation enthalpy at 0 K   1838 meV per atom
Polymorph energy (0 for the lowest one)   3.93 eV per formula unit
Total magnetic moment   0.25 μB/atom

Unit cell a=4.1160 b=4.1160 c=4.1160 alpha=90.00 beta=90.00 gamma=90.00
Closest atoms and distances in Å follow each position.
Space group Pm-3m (No. 221)
Asymmetric unit:
Be 0.0000 0.0000 0.5000 (multiplicity 3)  2 W 2.06
Os 0.5000 0.5000 0.5000 (multiplicity 1)  12 Be 2.91
W 0.0000 0.0000 0.0000 (multiplicity 1)  6 Be 2.06

---

Density functional theory data (PBE) for a relaxed ErGa4Cu4 crystal.

Formation enthalpy at 0 K   -161 meV per atom
Total magnetic moment   0.00 μB/atom

Unit cell a=8.1386 b=8.1386 c=4.4360 alpha=90.00 beta=90.00 gamma=90.00
Closest atoms and distances in Å follow each position.
Space group I4/m (No. 87)
Asymmetric unit:
Er 0.0000 0.0000 0.0000 (multiplicity 2)  8 Cu 2.93, 4 Ga 3.08
Ga 0.0969 0.3655 0.0000 (multiplicity 8)  4 Cu 2.46-2.57, 1 Ga 2.70
Cu 0.1096 0.2072 0.5000 (multiplicity 8)  4 Ga 2.46-2.57, 2 Cu 2.70

---

Density functional theory data (PBE) for a relaxed TbZr2F11 crystal.

Electronic total energy   -6.848 eV per atom
Total magnetic moment   0.00 μB/atom

Unit cell a=7.8548 b=10.0440 c=10.7617 alpha=90.00 beta=90.00 gamma=90.00
Closest atoms and distances in Å follow each position.
Space group Ibam (No. 72)
Asymmetric unit:
Tb 0.0000 0.0000 0.2500 (multiplicity 4)  8 F 2.30-2.32
Zr 0.1377 0.3181 0.0000 (multiplicity 8)  7 F 2.07-2.12
F 0.0000 0.5000 0.0000 (multiplicity 4)  2 Zr 2.12
F 0.1008 0.1794 0.1393 (multiplicity 16)  1 Zr 2.07, 1 Tb 2.30
F 0.1279 0.2834 0.5000 (multiplicity 8)  2 Zr 2.10-2.11
F 0.2290 0.0759 0.3669 (multiplicity 16)  1 Zr 2.07